Record 1
8
Lattice="4.409 0.000 0.000 0.000 4.409 0.000 2.205 2.205 3.336" Properties=species:S:1:pos:R:3 comment="AlC2N, optimized geometry, DFT PBE" crystal_system=tetragonal total_magnetization_mub_per_atom=0.00 energy_ev_per_cell=-53.7 de_polymorph_ev_per_atom=0.000 raw_formation_energy_ev_per_atom=0.9210 space_group="I-42d, No. 122" pbc="T T T"
Al 4.409 2.205 1.668
Al 0.000 0.000 0.000
C 3.307 3.672 2.502
C 5.512 5.146 2.502
C 2.941 1.102 0.834
C 1.468 3.307 0.834
N 2.205 2.205 0.000
N 2.205 4.409 1.668

---

Record 2
4
Lattice="3.130 0.000 0.000 -1.565 2.711 0.000 0.000 0.002 5.431" Properties=species:S:1:pos:R:3 comment="Al2CN, optimized geometry, DFT PBE" crystal_system=trigonal total_magnetization_mub_per_atom=0.00 energy_ev_per_cell=-26.5 de_polymorph_ev_per_atom=0.000 raw_formation_energy_ev_per_atom=-0.3733 space_group="P3m1, No. 156" pbc="T T T"
C -0.037 2.247 1.123
N 1.528 1.345 3.775
Al -0.037 2.249 3.123
Al 1.528 1.343 0.226

---

Record 3
4
Lattice="0.000 2.605 2.605 2.605 0.000 2.605 2.605 2.605 0.000" Properties=species:S:1:pos:R:3 comment="AlC2N, optimized geometry, DFT PBE" crystal_system=cubic total_magnetization_mub_per_atom=0.00 energy_ev_per_cell=-19.4 de_polymorph_ev_per_atom=1.866 raw_formation_energy_ev_per_atom=2.7872 space_group="Fm-3m, No. 225" pbc="T T T"
Al 2.605 2.605 2.605
C 3.908 3.908 3.908
C 1.303 1.303 1.303
N 0.000 0.000 0.000

---

Record 4
7
Lattice="-1.256 4.753 1.775 -3.491 0.527 -3.853 -3.692 -2.102 3.044" Properties=species:S:1:pos:R:3 comment="AlC3N3, optimized geometry, DFT PBE" crystal_system=trigonal total_magnetization_mub_per_atom=0.00 energy_ev_per_cell=-56.3 raw_formation_energy_ev_per_atom=0.0134 space_group="R3m, No. 160" pbc="T T T"
C -6.195 4.438 -0.872
C -7.663 0.306 -0.107
C -6.316 2.853 3.286
N -7.020 3.970 -0.193
N -7.945 1.366 0.289
N -7.096 2.971 2.428
Al -8.402 3.164 0.961